SbHSe: relaxed, GGA-PBE.

Its magnetic moment is 0.000 μB/atom.

It has space group P2_1/m (No. 11), with a = 4.765 Å, b = 3.866 Å, c = 7.498 Å, α = 90.00°, β = 90.49° and γ = 90.00°. The asymmetric unit holds Sb at (0.032, 0.250, 0.285), H at (0.166, 0.750, 0.509) and Se at (0.292, 0.250, 0.843).

---

SbTe2HSe: relaxed, GGA-PBE.

The density of states at the Fermi level is 2.3 states/eV per cell. Its magnetic moment is 0.113 μB/atom.

It has space group P4/mmm (No. 123), with a = 4.253 Å, b = 4.253 Å, c = 7.615 Å, α = 90.00°, β = 90.00° and γ = 90.00°. The asymmetric unit holds Sb at (0.000, 0.000, 0.000), Te at (0.000, 0.500, 0.500), H at (0.000, 0.000, 0.500) and Se at (0.500, 0.500, 0.000).

---

SbTe2HSe: relaxed, GGA-PBE.

The density of states at the Fermi level is 5.8 states/eV per cell. Its magnetic moment is 0.042 μB/atom.

It has space group P4/mmm (No. 123), with a = 5.572 Å, b = 5.572 Å, c = 5.505 Å, α = 90.00°, β = 90.00° and γ = 90.00°. The asymmetric unit holds Sb at (0.000, 0.000, 0.000), Te at (0.000, 0.500, 0.500), H at (0.500, 0.500, 0.000) and Se at (0.000, 0.000, 0.500).

---

TlSbHSe2: relaxed, GGA-PBE.

The density of states at the Fermi level is 1.9 states/eV per cell. Its magnetic moment is 0.000 μB/atom.

It has space group P2/c (No. 13), with a = 6.658 Å, b = 4.506 Å, c = 9.158 Å, α = 90.00°, β = 94.55° and γ = 90.00°. The asymmetric unit holds Tl at (0.000, 0.249, 0.250), Sb at (0.500, 0.443, 0.250), H at (0.500, 0.000, 0.000) and Se at (0.294, 0.191, 0.571).

---

SiSbH2: relaxed, GGA-PBE.

The density of states at the Fermi level is 2.4 states/eV per cell. Its magnetic moment is 0.000 μB/atom.

It has space group Amm2 (No. 38), with a = 4.164 Å, b = 3.307 Å, c = 10.448 Å, α = 90.00°, β = 90.00° and γ = 90.00°. The asymmetric unit holds Si at (0.000, 0.000, 0.000), Sb at (0.500, 0.000, 0.152), H at (0.000, 0.000, 0.505) and H at (0.000, 0.000, 0.856).

---

SiSbH2: relaxed, GGA-PBE.

Its magnetic moment is 0.000 μB/atom.

It has space group P1 (No. 1), with a = 4.224 Å, b = 5.499 Å, c = 7.180 Å, α = 101.36°, β = 91.24° and γ = 105.75°. The asymmetric unit holds Si at (0.000, 0.000, 0.000), Si at (0.006, 0.942, 0.319), Sb at (0.204, 0.377, 0.582), Sb at (0.393, 0.632, 0.270), H at (0.335, 0.048, 0.927), H at (0.792, 0.748, 0.882), H at (0.809, 0.414, 0.543) and H at (0.853, 0.207, 0.964).

---

SiSbH2: relaxed, GGA-PBE.

The density of states at the Fermi level is 4.9 states/eV per cell. Its magnetic moment is 0.000 μB/atom.

It has space group I-42d (No. 122), with a = 5.465 Å, b = 5.465 Å, c = 7.482 Å, α = 90.00°, β = 90.00° and γ = 90.00°. The asymmetric unit holds Si at (0.000, 0.000, 0.000), Sb at (0.000, 0.000, 0.500) and H at (0.019, 0.750, 0.125).

---

SiSb2H: relaxed, GGA-PBE.

The density of states at the Fermi level is 4.3 states/eV per cell. Its magnetic moment is 0.000 μB/atom.

It has space group I-42d (No. 122), with a = 5.768 Å, b = 5.768 Å, c = 10.824 Å, α = 90.00°, β = 90.00° and γ = 90.00°. The asymmetric unit holds Si at (0.000, 0.000, 0.000), Sb at (0.195, 0.250, 0.625) and H at (0.000, 0.000, 0.500).

---

Number 1: DFT total energy -3.620 eV/atom. Number 2: DFT total energy -3.000 eV/atom. Number 3: DFT total energy -2.464 eV/atom. Number 4: DFT total energy -3.426 eV/atom. Number 5: DFT total energy -3.851 eV/atom. Number 6: DFT total energy -3.917 eV/atom. Number 7: DFT total energy -3.578 eV/atom. Number 8: DFT total energy -3.778 eV/atom.